Material: Mg6GaCo
Method: DFT, PBE-GGA
State: relaxed Values from VASP.

Quantum ESPRESSO input file:
```
&SYSTEM
  ibrav = 0, nat = 8, ntyp = 3
/
ATOMIC_SPECIES
Mg 24.30 Mg.upf
Ga 69.72 Ga.upf
Co 58.93 Co.upf
CELL_PARAMETERS angstrom
4.841 0.000 0.000
0.000 3.034 5.208
0.000 -3.034 5.208
ATOMIC_POSITIONS angstrom
Mg 0.000 0.000 0.000
Mg 0.000 -1.462 2.687
Mg 0.000 0.000 5.157
Mg 0.000 1.462 2.687
Mg 2.420 -1.509 6.104
Mg 2.420 1.509 6.104
Ga 2.420 0.000 8.726
Co 2.420 0.000 3.517
```

Summary:
Space group   Amm2
Distance to the lowest polymorph of the same formula   9 meV/atom
Magnetic moment   0.793 Bohr magnetons per cell
ΔH_f (0 K)   0.5 eV per formula unit